No. 1
Below is a relaxed structure of CaMg2Sc, with properties calculated at the GGA-PBE level.

Results
The value obtained for the calculated formation energy is 349 meV per atom. The value obtained for the volume is 28.9 A^3/atom. As for the space group: I-42d (122). The value obtained for the total DFT energy (no corrections) is -2.531 eV/atom. Its total magnetization is 0.00 μB per formula unit. Its crystal system is tetragonal.

Geometry as POSCAR:
```
CaMg2Sc
1.0
8.428 0.000 0.000
0.000 8.428 0.000
4.214 4.214 3.255
Mg Ca Sc
4 2 2
direct
0.109 0.625 0.250 Mg
0.641 0.125 0.250 Mg
0.375 0.359 0.750 Mg
0.875 0.891 0.750 Mg
0.250 0.750 0.500 Ca
0.500 0.500 0.000 Ca
0.750 0.250 0.500 Sc
0.000 0.000 0.000 Sc
```

---

No. 2
Below is a relaxed structure of In2TeAs, with properties calculated at the GGA-PBE level.

Results
The value obtained for the volume is 27.1 A^3/atom. The value obtained for the energy above the most stable polymorph in this dataset is 0.341 eV per atom. As for the space group: P4mm (99). The value obtained for the total DFT energy (no corrections) is -3.141 eV/atom. Its total magnetization is 0.00 μB per formula unit. Its crystal system is tetragonal. As for the formation energy without anion corrections: 0.70 eV/f.u.

Geometry as POSCAR:
```
In2TeAs
1.0
-3.210 0.719 0.484
-0.579 -3.160 0.859
1.904 2.197 9.369
Te In As
1 2 1
direct
0.000 0.000 0.486 Te
0.000 0.000 0.980 In
0.500 0.500 0.237 In
0.500 0.500 0.797 As
```

---

No. 3
Below is a relaxed structure of La3C2I3, with properties calculated at the GGA-PBE level.

Results
The value obtained for the volume is 30.5 A^3/atom. As for the space group: C222_1 (20). The value obtained for the total DFT energy (no corrections) is -5.783 eV/atom. Its total magnetization is 0.00 μB per formula unit. Its crystal system is orthorhombic. As for the formation energy without anion corrections: -8.39 eV/f.u.

Geometry as POSCAR:
```
La3C2I3
1.0
-1.316 4.210 -9.894
8.722 -6.404 0.505
-10.061 -14.071 -4.650
La I C
24 24 16
direct
0.157 0.894 0.001 La
0.616 0.323 0.978 La
0.323 0.616 0.022 La
0.894 0.157 0.999 La
0.631 0.369 0.750 La
0.552 0.009 0.603 La
0.169 0.831 0.250 La
0.529 0.026 0.881 La
0.831 0.169 0.750 La
0.231 0.258 0.099 La
0.448 0.991 0.103 La
0.026 0.529 0.119 La
0.384 0.677 0.478 La
0.009 0.552 0.397 La
0.769 0.742 0.599 La
0.677 0.384 0.522 La
0.843 0.106 0.501 La
0.471 0.974 0.381 La
0.991 0.448 0.897 La
0.258 0.231 0.901 La
0.974 0.471 0.619 La
0.742 0.769 0.401 La
0.106 0.843 0.499 La
0.369 0.631 0.250 La
0.517 0.501 0.119 I
0.098 0.364 0.257 I
0.483 0.499 0.619 I
0.902 0.636 0.757 I
0.740 0.254 0.132 I
0.260 0.746 0.632 I
0.141 0.370 0.755 I
0.859 0.630 0.255 I
0.254 0.740 0.868 I
0.636 0.902 0.243 I
0.746 0.260 0.368 I
0.364 0.098 0.743 I
0.021 0.013 0.368 I
0.630 0.859 0.745 I
0.501 0.517 0.881 I
0.629 0.864 0.006 I
0.499 0.483 0.381 I
0.013 0.021 0.632 I
0.371 0.136 0.506 I
0.370 0.141 0.245 I
0.864 0.629 0.994 I
0.987 0.979 0.132 I
0.979 0.987 0.868 I
0.136 0.371 0.494 I
0.275 0.719 0.150 C
0.853 0.657 0.477 C
0.219 0.775 0.404 C
0.343 0.147 0.023 C
0.097 0.409 0.029 C
0.775 0.219 0.596 C
0.657 0.853 0.523 C
0.591 0.903 0.471 C
0.147 0.343 0.977 C
0.781 0.225 0.904 C
0.281 0.725 0.350 C
0.409 0.097 0.971 C
0.903 0.591 0.529 C
0.719 0.275 0.850 C
0.725 0.281 0.650 C
0.225 0.781 0.096 C
```

---

No. 4
Below is a relaxed structure of In4Ag15Bi, with properties calculated at the GGA-PBE level.

Results
The value obtained for the calculated formation energy is 1 meV per atom. The value obtained for the volume is 19.4 A^3/atom. As for the space group: P4/mmm (123). The value obtained for the total DFT energy (no corrections) is -2.879 eV/atom. Its total magnetization is 0.00 μB per formula unit. Its crystal system is tetragonal.

Geometry as POSCAR:
```
In4Ag15Bi
1.0
-0.306 -3.373 2.639
1.398 -2.580 -3.135
19.879 3.121 6.293
Ag Bi In
15 1 4
direct
0.500 0.000 0.696 Ag
0.000 0.500 0.500 Ag
0.500 0.000 0.893 Ag
0.000 0.500 0.893 Ag
0.500 0.000 0.304 Ag
0.000 0.500 0.107 Ag
0.500 0.000 0.107 Ag
0.500 0.500 0.402 Ag
0.500 0.500 0.598 Ag
0.500 0.500 0.207 Ag
0.500 0.000 0.500 Ag
0.000 0.500 0.696 Ag
0.500 0.500 0.000 Ag
0.000 0.500 0.304 Ag
0.500 0.500 0.793 Ag
0.000 0.000 0.000 Bi
0.000 0.000 0.598 In
0.000 0.000 0.204 In
0.000 0.000 0.796 In
0.000 0.000 0.402 In
```

---

No. 5
Below is a relaxed structure of CdRu2W, with properties calculated at the GGA-PBE level.

Results
The value obtained for the calculated formation energy is 659 meV per atom. The value obtained for the volume is 16.0 A^3/atom. As for the space group: Pmmm (47). The value obtained for the total DFT energy (no corrections) is -7.446 eV/atom. Its total magnetization is 0.00 μB per formula unit. Its crystal system is orthorhombic.

Geometry as POSCAR:
```
CdRu2W
1.0
-2.873 -0.542 -0.671
1.371 -2.405 -3.929
0.158 -3.749 2.350
W Ru Cd
1 2 1
direct
0.500 0.000 0.500 W
0.500 0.500 0.000 Ru
0.000 0.000 0.000 Ru
0.000 0.500 0.500 Cd
```

---

No. 6
Below is a relaxed structure of La2Nd3Tm7, with properties calculated at the GGA-PBE level.

Results
The value obtained for the calculated formation energy is 115 meV per atom. The value obtained for the volume is 33.0 A^3/atom. The value obtained for the energy above the most stable polymorph in this dataset is 0.016 eV per atom. As for the space group: Cmmm (65). The value obtained for the total DFT energy (no corrections) is -4.507 eV/atom. Its total magnetization is 0.00 μB per formula unit. Its crystal system is orthorhombic.

Geometry as POSCAR:
```
La2Nd3Tm7
1.0
3.613 0.000 0.000
0.000 5.714 0.000
0.000 -2.857 19.207
Tm Nd La
7 3 2
direct
0.000 0.770 0.539 Tm
0.500 0.070 0.140 Tm
0.000 0.000 0.000 Tm
0.000 0.230 0.461 Tm
0.000 0.588 0.176 Tm
0.500 0.930 0.860 Tm
0.000 0.412 0.824 Tm
0.500 0.500 0.000 Nd
0.500 0.687 0.374 Nd
0.500 0.313 0.626 Nd
0.000 0.146 0.292 La
0.000 0.854 0.708 La
```

---

No. 7
Below is a relaxed structure of Zr2CdAgH, with properties calculated at the GGA-PBE level.

Results
The value obtained for the volume is 17.0 A^3/atom. The value obtained for the energy above the most stable polymorph in this dataset is 0.048 eV per atom. As for the space group: P4/mmm (123). The value obtained for the total DFT energy (no corrections) is -4.946 eV/atom. Its total magnetization is 0.00 μB per formula unit. Its crystal system is tetragonal.

Geometry as POSCAR:
```
Zr2CdAgH
1.0
4.327 0.000 0.000
0.000 4.327 0.000
0.000 0.000 4.551
Cd Zr Ag H
1 2 1 1
direct
0.000 0.000 0.500 Cd
0.000 0.500 0.000 Zr
0.500 0.000 0.000 Zr
0.500 0.500 0.500 Ag
0.000 0.000 0.000 H
```

---

No. 8
Below is a relaxed structure of CeDy2ErTm4, with properties calculated at the GGA-PBE level.

Results
The value obtained for the calculated formation energy is 45 meV per atom. The value obtained for the volume is 30.5 A^3/atom. As for the space group: P4/mmm (123). The value obtained for the total DFT energy (no corrections) is -4.653 eV/atom. Its total magnetization is 0.85 μB per formula unit. Its crystal system is tetragonal.

Geometry as POSCAR:
```
CeDy2ErTm4
1.0
4.968 0.000 0.000
0.000 4.811 1.227
0.000 2.366 10.799
Tm Dy Er Ce
4 2 1 1
direct
0.500 0.251 0.749 Tm
0.500 0.749 0.251 Tm
0.000 0.249 0.251 Tm
0.000 0.751 0.749 Tm
0.000 0.000 0.000 Dy
0.500 0.000 0.500 Dy
0.500 0.500 0.000 Er
0.000 0.500 0.500 Ce
```